1.
Computed, not measured: a relaxed NbBr3Cl crystal at the PBE level of DFT.

Cell lengths 5.3252, 5.3252, 5.3252 Å; angles 90.00, 90.00, 90.00 degrees
Space group Pm-3m (No. 221)
One atom of each set of equivalent atoms:
1 Nb 0.0000 0.0000 0.0000 [1 per cell]
2 Br 0.0000 0.5000 0.5000 [3 per cell]
3 Cl 0.5000 0.5000 0.5000 [1 per cell]

Results
uncorrected formation energy	94	kJ per mole of atoms
DOS at the Fermi energy	1.83	states/eV/atom
excess energy over the best structure of this formula in the dataset	1.8631	eV per atom
final energy	-2.41	eV per atom
total moment	4.03	μB per formula unit



2.
Computed, not measured: a relaxed Zr2Sb4Pd crystal at the PBE level of DFT.

Cell lengths 14.7419, 3.9312, 6.5711 Å; angles 90.00, 115.56, 90.00 degrees
Space group C2/m (No. 12)
One atom of each set of equivalent atoms:
1 Zr 0.2472 0.0000 0.2566 [4 per cell]
2 Sb 0.1021 0.0000 0.4608 [4 per cell]
3 Sb 0.1097 0.5000 0.9341 [4 per cell]
4 Pd 0.0000 0.0000 0.0000 [2 per cell]

Results
uncorrected formation energy	-41	kJ per mole of atoms
DOS at the Fermi energy	0.57	states/eV/atom
final energy	-5.97	eV per atom
total moment	0.00	μB per formula unit



3.
Computed, not measured: a relaxed KMnTl2Cl6 crystal at the PBE level of DFT.

Cell lengths 7.3513, 7.3761, 7.4007 Å; angles 117.94, 90.20, 116.08 degrees
Space group P-1 (No. 2)
One atom of each set of equivalent atoms:
1 K 0.0000 0.0000 0.0000 [1 per cell]
2 Mn 0.5000 0.0000 0.5000 [1 per cell]
3 Tl 0.2847 0.4945 0.7201 [2 per cell]
4 Cl 0.2000 0.9621 0.3527 [2 per cell]
5 Cl 0.3078 0.5281 0.3207 [2 per cell]
6 Cl 0.3820 0.0323 0.7956 [2 per cell]

Results
uncorrected formation energy	-115	kJ per mole of atoms
final energy	-3.80	eV per atom
total moment	4.00	μB per formula unit



4.
Computed, not measured: a relaxed Y2Ga5Ni2Ru crystal at the PBE level of DFT.

Cell lengths 9.1025, 9.1025, 4.0323 Å; angles 90.00, 90.00, 90.00 degrees
Space group P4/mbm (No. 127)
One atom of each set of equivalent atoms:
1 Y 0.1843 0.3157 0.0000 [4 per cell]
2 Ga 0.0000 0.5000 0.5000 [2 per cell]
3 Ga 0.0548 0.7975 0.5000 [8 per cell]
4 Ni 0.1107 0.6107 0.0000 [4 per cell]
5 Ru 0.0000 0.0000 0.0000 [2 per cell]

Results
DOS at the Fermi energy	0.74	states/eV/atom
final energy	-5.34	eV per atom
total moment	0.00	μB per formula unit



5.
Computed, not measured: a relaxed Cs2CuCl6F crystal at the PBE level of DFT.

Cell lengths 7.0413, 7.0413, 10.7794 Å; angles 90.00, 90.00, 90.00 degrees
Space group I4/mmm (No. 139)
One atom of each set of equivalent atoms:
1 Cs 0.0000 0.5000 0.2500 [4 per cell]
2 Cu 0.0000 0.0000 0.0000 [2 per cell]
3 Cl 0.0000 0.0000 0.2092 [4 per cell]
4 Cl 0.2351 0.2351 0.0000 [8 per cell]
5 F 0.0000 0.0000 0.5000 [2 per cell]

Results
uncorrected formation energy	-91	kJ per mole of atoms
DOS at the Fermi energy	0.15	states/eV/atom
final energy	-2.82	eV per atom
total moment	0.00	μB per formula unit



6.
Computed, not measured: a relaxed KInPb crystal at the PBE level of DFT.

Cell lengths 5.0395, 16.2385, 8.2615 Å; angles 90.00, 90.00, 90.00 degrees
Space group Imm2 (No. 44)
One atom of each set of equivalent atoms:
1 K 0.0000 0.0000 0.0000 [2 per cell]
2 K 0.0000 0.3553 0.8255 [4 per cell]
3 In 0.0000 0.0000 0.4483 [2 per cell]
4 In 0.0000 0.3200 0.3713 [4 per cell]
5 Pb 0.0000 0.1648 0.6433 [4 per cell]
6 Pb 0.0000 0.5000 0.1916 [2 per cell]

Results
DOS at the Fermi energy	0.64	states/eV/atom
final energy	-2.60	eV per atom
total moment	0.00	μB per formula unit



7.
Computed, not measured: a relaxed NaBeSn crystal at the PBE level of DFT.

Cell lengths 6.5579, 3.7770, 11.8143 Å; angles 90.00, 100.89, 90.00 degrees
Space group C2/m (No. 12)
One atom of each set of equivalent atoms:
1 Na 0.2082 0.0000 0.1296 [4 per cell]
2 Be 0.1677 0.5000 0.5013 [4 per cell]
3 Sn 0.0473 0.0000 0.6391 [4 per cell]

Results
DOS at the Fermi energy	0.29	states/eV/atom
excess energy over the best structure of this formula in the dataset	0.0594	eV per atom
final energy	-2.93	eV per atom
total moment	0.00	μB per formula unit



8.
Computed, not measured: a relaxed CePu2HfAs4 crystal at the PBE level of DFT.

Cell lengths 7.0386, 4.0731, 7.0752 Å; angles 90.00, 109.43, 90.00 degrees
Space group P2/m (No. 10)
One atom of each set of equivalent atoms:
1 Ce 0.0000 0.0000 0.0000 [1 per cell]
2 Pu 0.5000 0.0000 0.5000 [1 per cell]
3 Pu 0.5000 0.5000 0.0000 [1 per cell]
4 Hf 0.0000 0.5000 0.5000 [1 per cell]
5 As 0.2372 0.0000 0.7350 [2 per cell]
6 As 0.2439 0.5000 0.2617 [2 per cell]

Results
DOS at the Fermi energy	3.20	states/eV/atom
final energy	-9.01	eV per atom
total moment	0.17	μB per formula unit



9.
Computed, not measured: a relaxed Lu2CoIr crystal at the PBE level of DFT.

Cell lengths 4.7161, 4.7161, 3.2832 Å; angles 90.00, 90.00, 90.00 degrees
Space group P4/mmm (No. 123)
One atom of each set of equivalent atoms:
1 Lu 0.0000 0.5000 0.0000 [2 per cell]
2 Co 0.0000 0.0000 0.5000 [1 per cell]
3 Ir 0.5000 0.5000 0.5000 [1 per cell]

Results
DOS at the Fermi energy	0.32	states/eV/atom
final energy	-6.88	eV per atom
total moment	0.41	μB per formula unit



10.
Computed, not measured: a relaxed LaZn2GaAu crystal at the PBE level of DFT.

Cell lengths 4.4450, 4.4452, 10.4163 Å; angles 90.00, 90.00, 90.00 degrees
Space group Imm2 (No. 44)
One atom of each set of equivalent atoms:
1 La 0.0000 0.0000 0.0000 [2 per cell]
2 Zn 0.0000 0.0000 0.6211 [2 per cell]
3 Zn 0.0000 0.5000 0.2521 [2 per cell]
4 Ga 0.0000 0.0000 0.3849 [2 per cell]
5 Au 0.0000 0.5000 0.7528 [2 per cell]

Results
DOS at the Fermi energy	0.67	states/eV/atom
final energy	-3.27	eV per atom
total moment	0.00	μB per formula unit



11.
Computed, not measured: a relaxed Rb4CrS4 crystal at the PBE level of DFT.

Cell lengths 7.7619, 7.7619, 13.0435 Å; angles 90.00, 90.00, 90.00 degrees
Space group I-42m (No. 121)
One atom of each set of equivalent atoms:
1 Rb 0.0000 0.0000 0.2012 [4 per cell]
2 Rb 0.0000 0.5000 0.0000 [4 per cell]
3 Cr 0.0000 0.0000 0.5000 [2 per cell]
4 S 0.1643 0.1643 0.5991 [8 per cell]

Results
uncorrected formation energy	-89	kJ per mole of atoms
excess energy over the best structure of this formula in the dataset	0.0890	eV per atom
final energy	-4.26	eV per atom
total moment	2.00	μB per formula unit



12.
Computed, not measured: a relaxed TeP2Os crystal at the PBE level of DFT.

Cell lengths 7.4710, 3.7348, 6.0672 Å; angles 90.00, 102.78, 90.00 degrees
Space group Cm (No. 8)
One atom of each set of equivalent atoms:
1 Te 0.0000 0.0000 0.0000 [2 per cell]
2 P 0.0782 0.5000 0.6482 [2 per cell]
3 P 0.2412 0.5000 0.4133 [2 per cell]
4 Os 0.2859 0.0000 0.7255 [2 per cell]

Results
uncorrected formation energy	15	kJ per mole of atoms
DOS at the Fermi energy	0.20	states/eV/atom
excess energy over the best structure of this formula in the dataset	0.1213	eV per atom
final energy	-6.14	eV per atom
total moment	0.00	μB per formula unit